This record from Alexandria describes an optimized crystal structure of LaV2SnO8. The functional is PBE+U.

Values from the calculation:
Electronic total energy = -7.33 eV per atom
Spin magnetization = 0.0 μB/f.u.
N(E_F) = 0.439 states/eV per atom

Lattice parameters (Å, degrees): 5.8877 5.8877 6.6912 90.00 90.00 120.00
Space group P-3m1 (No. 164)
Unique sites:
1 La 0.0000 0.0000 0.0000 (multiplicity 1)
2 V 0.3333 0.6667 0.3399 (multiplicity 2)
3 Sn 0.0000 0.0000 0.5000 (multiplicity 1)
4 O 0.1641 0.3281 0.2626 (multiplicity 6)
5 O 0.3333 0.6667 0.5839 (multiplicity 2)